The following is a PBE-GGA calculation of V2CuHPt after structural relaxation, from Alexandria.

Geometry as POSCAR:
```
V2CuHPt
1.0
3.796 0.000 0.000
0.000 3.796 0.000
0.000 0.000 3.944
V H Pt Cu
2 1 1 1
Cartesian
0.000 1.898 0.000
1.898 0.000 0.000
0.000 0.000 0.000
0.000 0.000 1.972
1.898 1.898 1.972
```

Properties
Electronic total energy   -6.4724 eV per atom
Distance to the lowest polymorph of the same formula   75.6 meV per atom
SG   P4/mmm (123)



The following is a PBE-GGA calculation of VCu2HPt after structural relaxation, from Alexandria.

Geometry as POSCAR:
```
VCu2HPt
1.0
3.810 0.000 0.000
0.000 3.810 0.000
0.000 0.000 3.884
V Cu H Pt
1 2 1 1
Cartesian
0.000 0.000 1.942
0.000 1.905 0.000
1.905 0.000 0.000
0.000 0.000 0.000
1.905 1.905 1.942
```

Properties
Electronic total energy   -5.3608 eV per atom
SG   P4/mmm (123)



The following is a PBE-GGA calculation of V2CuHPt after structural relaxation, from Alexandria.

Geometry as POSCAR:
```
V2CuHPt
1.0
-1.542 2.418 2.427
1.658 -1.802 2.849
3.172 2.371 -0.347
V Pt H Cu
2 1 1 1
Cartesian
-0.771 1.209 1.213
0.829 -0.901 1.425
1.644 1.494 2.465
0.000 0.000 0.000
1.586 1.185 -0.173
```

Properties
Electronic total energy   -6.5480 eV per atom
Distance to the lowest polymorph of the same formula   0.0 meV per atom
SG   P4/mmm (123)



The following is a PBE-GGA calculation of CuH2PtW after structural relaxation, from Alexandria.

Geometry as POSCAR:
```
CuH2PtW
1.0
3.541 0.000 0.000
0.000 5.167 0.000
0.000 0.000 3.541
Pt Cu H W
1 1 2 1
Cartesian
0.000 0.000 0.000
1.770 2.584 1.770
0.000 0.000 1.770
1.770 0.000 0.000
0.000 2.584 0.000
```

Properties
Electronic total energy   -5.1400 eV per atom
SG   P4/mmm (123)



The following is a PBE-GGA calculation of YCuHPt2 after structural relaxation, from Alexandria.

Geometry as POSCAR:
```
YCuHPt2
1.0
-2.081 -0.680 3.519
-1.539 -3.505 -1.587
3.279 -2.132 1.528
H Cu Y Pt
1 1 1 2
Cartesian
0.000 0.000 0.000
1.640 -1.066 0.764
-0.171 -3.158 1.730
-0.770 -1.753 -0.794
-1.041 -0.340 1.759
```

Properties
Electronic total energy   -5.6680 eV per atom
SG   P4/mmm (123)



The following is a PBE-GGA calculation of Y2CuHPt6 after structural relaxation, from Alexandria.

Geometry as POSCAR:
```
Y2CuHPt6
1.0
-0.473 -4.109 3.785
6.824 -1.313 -0.572
2.770 0.336 4.862
Pt Y Cu H
6 2 1 1
Cartesian
7.819 -3.895 7.103
6.451 -4.062 4.701
1.302 -1.190 0.971
1.068 -3.218 2.841
2.669 -1.023 3.373
8.053 -1.867 5.234
5.848 -1.519 3.234
3.272 -3.567 4.840
3.175 -2.711 1.606
0.000 0.000 0.000
```

Properties
Electronic total energy   -6.3593 eV per atom
SG   R-3m (166)